1 | The following is a DFT calculation (PBE) of NaTlIn2Ni after structural relaxation.

```
NaTlIn2Ni
1.0
4.9486 0.0000 0.0000
0.0000 4.9486 0.0000
0.0000 0.0000 5.4574
Na Tl In Ni
1 1 2 1
direct
0.0000 0.0000 0.0000
0.5000 0.5000 0.0000
0.0000 0.5000 0.5000
0.5000 0.0000 0.5000
0.0000 0.0000 0.5000
```

Results
- Symmetry: No. 123

=====

2 | The following is a DFT calculation (PBE) of NaTlIn2Ni after structural relaxation.

```
NaTlIn2Ni
1.0
5.0324 0.0000 0.0000
0.0000 5.0324 0.0000
0.0000 0.0000 5.1637
Na Tl In Ni
1 1 2 1
direct
0.0000 0.0000 0.0000
0.5000 0.5000 0.0000
0.0000 0.5000 0.5000
0.5000 0.0000 0.5000
0.5000 0.5000 0.5000
```

Results
- Symmetry: No. 123

=====

We find 2 to be the most stable, with the next structure 0.038 eV/atom higher.

=====

1 | The following is a DFT calculation (PBE) of Na3InO after structural relaxation.

```
Na3InO
1.0
5.7752 0.0000 0.0000
0.0000 5.7752 0.0000
0.0000 0.0000 5.7752
Na In O
3 1 1
direct
0.0000 0.0000 0.5000
0.0000 0.5000 0.0000
0.5000 0.0000 0.0000
0.0000 0.0000 0.0000
0.5000 0.5000 0.5000
```

Results
- Symmetry: No. 221

=====

2 | The following is a DFT calculation (PBE) of Na3InO after structural relaxation.

```
Na3InO
1.0
4.7733 0.0000 0.0000
0.0000 4.7733 0.0000
0.0000 0.0000 4.7733
Na In O
3 1 1
direct
0.0000 0.0000 0.5000
0.0000 0.5000 0.0000
0.5000 0.0000 0.0000
0.5000 0.5000 0.5000
0.0000 0.0000 0.0000
```

Results
- Symmetry: No. 221

=====

We find 2 to be the most stable, with the next structure 1.133 eV/atom higher.

=====

1 | The following is a DFT calculation (PBE) of Na2In2Os after structural relaxation.

```
Na2In2Os
1.0
8.5687 0.0000 0.0000
0.0000 8.5687 0.0000
0.0000 0.0000 2.9145
Na In Os
4 4 2
direct
0.1225 0.3775 0.0000
0.3775 0.8775 0.0000
0.6225 0.1225 0.0000
0.8775 0.6225 0.0000
0.1773 0.6773 0.5000
0.3227 0.1773 0.5000
0.6773 0.8227 0.5000
0.8227 0.3227 0.5000
0.0000 0.0000 0.0000
0.5000 0.5000 0.0000
```

Results
- Symmetry: No. 127

=====

2 | The following is a DFT calculation (PBE) of Na2In2Os after structural relaxation.

```
Na2In2Os
1.0
5.2268 0.0000 0.0000
0.0000 5.2268 0.0000
0.0000 0.0000 7.7045
Na In Os
4 4 2
direct
0.0000 0.0000 0.1395
0.0000 0.0000 0.8605
0.5000 0.5000 0.3605
0.5000 0.5000 0.6395
0.0000 0.5000 0.2500
0.0000 0.5000 0.7500
0.5000 0.0000 0.2500
0.5000 0.0000 0.7500
0.0000 0.0000 0.5000
0.5000 0.5000 0.0000
```

Results
- Symmetry: No. 139

=====

We find 1 to be the most stable, with the next structure 0.103 eV/atom higher.

=====

1 | The following is a DFT calculation (PBE) of NaIn3P after structural relaxation.

```
NaIn3P
1.0
5.4081 0.0000 0.0000
0.0000 5.4081 0.0000
0.0000 0.0000 5.4081
Na In P
1 3 1
direct
0.0000 0.0000 0.0000
0.0000 0.0000 0.5000
0.0000 0.5000 0.0000
0.5000 0.0000 0.0000
0.5000 0.5000 0.5000
```

Results
- Symmetry: No. 221

=====

2 | The following is a DFT calculation (PBE) of NaIn3P after structural relaxation.

```
NaIn3P
1.0
5.3306 0.0000 0.0000
0.0000 5.3306 0.0000
0.0000 0.0000 5.3306
Na In P
1 3 1
direct
0.0000 0.0000 0.0000
0.0000 0.5000 0.5000
0.5000 0.0000 0.5000
0.5000 0.5000 0.0000
0.5000 0.5000 0.5000
```

Results
- Symmetry: No. 221

=====

We find 2 to be the most stable, with the next structure 0.611 eV/atom higher.